# Rb2CoSbF6

Rb2CoSbF6 after structural relaxation (PBE+U, Alexandria).

abc: 6.292 6.292 8.925
angles: 90.00 90.00 90.00
Space group I4/mmm (No. 139)
Asymmetric unit:
Rb  0.000  0.500  0.250 (multiplicity 4)
Co  0.000  0.000  0.000 (multiplicity 2)
Sb  0.000  0.000  0.500 (multiplicity 2)
F  0.000  0.000  0.252 (multiplicity 4)
F  0.249  0.249  0.500 (multiplicity 8)

## Properties
total DFT energy (no corrections): -4.4749 eV/atom
crystal system: tetragonal